{
  "formula": "La3Bi2H",
  "functional": "PBE",
  "state": "optimized geometry",
  "lattice": [[4.425, 0.000, 0.000], [0.000, 7.960, 0.000], [0.000, 0.000, 19.471]],
  "species": ["H", "La", "Bi", "La", "Bi", "H", "Bi", "H", "Bi", "H", "La", "La", "Bi", "La", "Bi", "Bi", "La", "La", "La", "La", "La", "La", "Bi", "La"],
  "frac_coords": [[0.250, 0.474, 0.055], [0.250, 0.607, 0.163], [0.250, 0.178, 0.727], [0.250, 0.152, 0.547], [0.750, 0.826, 0.056], [0.250, 0.974, 0.445], [0.750, 0.322, 0.227], [0.750, 0.026, 0.555], [0.250, 0.674, 0.556], [0.750, 0.526, 0.945], [0.750, 0.948, 0.854], [0.750, 0.393, 0.837], [0.250, 0.678, 0.773], [0.250, 0.052, 0.146], [0.750, 0.822, 0.273], [0.250, 0.174, 0.944], [0.250, 0.652, 0.953], [0.750, 0.848, 0.453], [0.250, 0.552, 0.354], [0.750, 0.893, 0.663], [0.250, 0.107, 0.337], [0.750, 0.348, 0.047], [0.750, 0.326, 0.444], [0.750, 0.448, 0.646]]
}

=====

{
  "formula": "SmMg6Cd2",
  "functional": "PBE",
  "state": "optimized geometry",
  "lattice": [[4.419, 0.000, 0.000], [0.000, 4.419, 0.000], [0.000, 0.000, 11.096]],
  "species": ["Mg", "Sm", "Mg", "Cd", "Mg", "Cd", "Mg", "Mg", "Mg"],
  "frac_coords": [[0.000, 0.000, 0.500], [0.000, 0.000, 0.000], [0.500, 0.000, 0.710], [0.500, 0.500, 0.876], [0.000, 0.500, 0.710], [0.500, 0.500, 0.124], [0.500, 0.500, 0.500], [0.500, 0.000, 0.290], [0.000, 0.500, 0.290]],
  "delta_e_f_ev_per_fu": -0.9
}

=====

One value per record, in order, for energy above the most stable polymorph in this dataset: 0.000 0.000 eV per atom.